Entry 1:
This record from Alexandria via LeMat-Bulk describes a relaxed structure of SiAs2Ru. The functional is GGA-PBE.

Properties
Energy relative to the elements, uncorrected (meV/atom): 201
Fermi-level density of states (states/eV/atom): 0.5237
Calculated density (g/cm3): 6.71

abc: 6.2879 6.2879 6.2879
angles: 153.05 142.04 47.17
Last column: nearest neighbours and their distance in Å.
Fractional positions:
Si 0.0000 0.0000 0.0000  2 Ru 2.45
As 0.2889 0.7889 0.5000  4 Ru 2.56
As 0.6132 0.6132 0.0000  4 Si 2.83, 4 As 2.88-2.93, 2 Ru 2.89
Ru 0.8294 0.3294 0.5000  2 Si 2.45, 4 As 2.56

***

Entry 2:
This record from Alexandria via LeMat-Bulk describes a relaxed structure of Li5MgPb3. The functional is GGA-PBE.

Properties
Fermi-level density of states (states/eV/atom): 0.4565
Calculated density (g/cm3): 6.05
Energy of formation from the pure elements (kJ/mol of formula units): -225

abc: 8.4550 8.4550 6.0377
angles: 90.00 90.00 120.00
Last column: nearest neighbours and their distance in Å.
Fractional positions:
Li 0.0000 0.3321 0.2500  5 Pb 2.80-3.02
Li 0.0000 0.6679 0.7500  5 Pb 2.80-3.02
Li 0.3321 0.0000 0.2500  5 Pb 2.80-3.02
Li 0.3321 0.3321 0.7500  5 Pb 2.80-3.02
Li 0.3333 0.6667 0.0000  8 Li 3.02-3.20, 6 Pb 3.18
Li 0.3333 0.6667 0.5000  8 Li 3.02-3.20, 6 Pb 3.18
Li 0.6667 0.3333 0.0000  8 Li 3.02-3.20, 6 Pb 3.18
Li 0.6667 0.3333 0.5000  8 Li 3.02-3.20, 6 Pb 3.18
Li 0.6679 0.0000 0.7500  5 Pb 2.80-3.02
Li 0.6679 0.6679 0.2500  5 Pb 2.80-3.02
Mg 0.0000 0.0000 0.0000  2 Mg 3.02, 6 Li 3.19, 6 Pb 3.23
Mg 0.0000 0.0000 0.5000  2 Mg 3.02, 6 Li 3.19, 6 Pb 3.23
Pb 0.0000 0.3372 0.7500  5 Li 2.80-3.02
Pb 0.0000 0.6628 0.2500  5 Li 2.80-3.02
Pb 0.3372 0.0000 0.7500  5 Li 2.80-3.02
Pb 0.3372 0.3372 0.2500  5 Li 2.80-3.02
Pb 0.6628 0.0000 0.2500  5 Li 2.80-3.02
Pb 0.6628 0.6628 0.7500  5 Li 2.80-3.02

***

Entry 3:
This record from Alexandria via LeMat-Bulk describes a relaxed structure of Ac3La2CeSe6. The functional is GGA-PBE.

Properties
Energy relative to the elements, uncorrected (meV/atom): -1896
Fermi-level density of states (states/eV/atom): 1.0008
Calculated density (g/cm3): 7.34

abc: 9.7877 9.7877 8.7884
angles: 103.10 103.10 25.74
Last column: nearest neighbours and their distance in Å.
Fractional positions:
Ac 0.0000 0.0000 0.0000  6 Se 3.14-3.16
Ac 0.3325 0.3325 0.6658  6 Se 3.13-3.16
Ac 0.6675 0.6675 0.3342  6 Se 3.13-3.16
La 0.3345 0.3345 0.1685  6 Se 3.05-3.07
La 0.6655 0.6655 0.8315  6 Se 3.05-3.07
Ce 0.0000 0.0000 0.5000  6 Se 3.02-3.03
Se 0.1626 0.1626 0.5877  1 Ce 3.02, 2 La 3.05, 3 Ac 3.13-3.16
Se 0.1693 0.1693 0.0776  3 La 3.06-3.07, 3 Ac 3.14
Se 0.4988 0.4988 0.2599  2 Ce 3.03, 1 La 3.05, 3 Ac 3.13-3.16
Se 0.5012 0.5012 0.7401  2 Ce 3.03, 1 La 3.05, 3 Ac 3.13-3.16
Se 0.8307 0.8307 0.9224  3 La 3.06-3.07, 3 Ac 3.14
Se 0.8374 0.8374 0.4123  1 Ce 3.02, 2 La 3.05, 3 Ac 3.13-3.16

***

Entry 4:
This record from Alexandria via LeMat-Bulk describes a relaxed structure of Na2CuBiF6. The functional is GGA-PBE.

Properties
Energy relative to the elements, uncorrected (meV/atom): -2073
Calculated density (g/cm3): 4.17

abc: 6.2432 6.2432 6.2432
angles: 60.00 60.00 60.00
Last column: nearest neighbours and their distance in Å.
Fractional positions:
Na 0.2500 0.2500 0.2500  12 F 3.12
Na 0.7500 0.7500 0.7500  12 F 3.12
Cu 0.0000 0.0000 0.0000  6 F 2.15
Bi 0.5000 0.5000 0.5000  6 F 2.27
F 0.2429 0.2429 0.7571  1 Cu 2.15, 1 Bi 2.27
F 0.2429 0.7571 0.2429  1 Cu 2.15, 1 Bi 2.27
F 0.2429 0.7571 0.7571  1 Cu 2.15, 1 Bi 2.27
F 0.7571 0.2429 0.2429  1 Cu 2.15, 1 Bi 2.27
F 0.7571 0.2429 0.7571  1 Cu 2.15, 1 Bi 2.27
F 0.7571 0.7571 0.2429  1 Cu 2.15, 1 Bi 2.27

***

Entry 5:
This record from Alexandria via LeMat-Bulk describes a relaxed structure of TcPRh2. The functional is GGA-PBE.

Properties
Fermi-level density of states (states/eV/atom): 1.0285
Calculated density (g/cm3): 10.01
Energy of formation from the pure elements (kJ/mol of formula units): -25

abc: 2.7892 3.7972 5.2432
angles: 90.00 90.00 90.00
Last column: nearest neighbours and their distance in Å.
Fractional positions:
Tc 0.0000 0.0000 0.0000  2 P 2.62, 8 Rh 2.70, 2 Tc 2.79
P 0.0000 0.0000 0.5000  2 Tc 2.62, 8 Rh 2.70, 2 P 2.79
Rh 0.5000 0.5000 0.2497  4 Rh 2.62-2.79, 4 Tc 2.70, 4 P 2.70
Rh 0.5000 0.5000 0.7503  4 Rh 2.62-2.79, 4 Tc 2.70, 4 P 2.70

***

Entry 6:
This record from Alexandria via LeMat-Bulk describes a relaxed structure of AcNdPbO2. The functional is GGA-PBE.

Properties
Energy relative to the elements, uncorrected (meV/atom): -2435
Fermi-level density of states (states/eV/atom): 0.5138
Calculated density (g/cm3): 8.10

abc: 8.0406 8.0406 8.0406
angles: 150.58 150.58 42.09
Last column: nearest neighbours and their distance in Å.
Fractional positions:
Ac 0.0000 0.0000 0.0000  4 O 2.44
Nd 0.6662 0.6662 0.0000  4 O 2.35
Pb 0.3312 0.3312 0.0000  4 Nd 3.80, 4 Ac 3.84, 4 Pb 4.08, 4 O 4.16
O 0.0893 0.5893 0.5000  2 Nd 2.35, 2 Ac 2.44
O 0.5893 0.0893 0.5000  2 Nd 2.35, 2 Ac 2.44

***

Repeat the fourth record exactly.
This record from Alexandria via LeMat-Bulk describes a relaxed structure of Na2CuBiF6. The functional is GGA-PBE.

Properties
Energy relative to the elements, uncorrected (meV/atom): -2073
Calculated density (g/cm3): 4.17

abc: 6.2432 6.2432 6.2432
angles: 60.00 60.00 60.00
Last column: nearest neighbours and their distance in Å.
Fractional positions:
Na 0.2500 0.2500 0.2500  12 F 3.12
Na 0.7500 0.7500 0.7500  12 F 3.12
Cu 0.0000 0.0000 0.0000  6 F 2.15
Bi 0.5000 0.5000 0.5000  6 F 2.27
F 0.2429 0.2429 0.7571  1 Cu 2.15, 1 Bi 2.27
F 0.2429 0.7571 0.2429  1 Cu 2.15, 1 Bi 2.27
F 0.2429 0.7571 0.7571  1 Cu 2.15, 1 Bi 2.27
F 0.7571 0.2429 0.2429  1 Cu 2.15, 1 Bi 2.27
F 0.7571 0.2429 0.7571  1 Cu 2.15, 1 Bi 2.27
F 0.7571 0.7571 0.2429  1 Cu 2.15, 1 Bi 2.27